No. 1
First-principles (PBE-GGA) data for crystalline TaIn2I at its relaxed geometry, as listed in Alexandria.

Cell lengths 7.4542, 7.4542, 7.4542 Å; angles 90.00, 90.00, 90.00 degrees
Closest atoms and distances in Å follow each position.
Space group Fm-3m (No. 225)
Inequivalent atoms, fractional coordinates:
1 Ta 0.0000 0.0000 0.0000 [4 per cell]  8 In 3.23
2 In 0.2500 0.2500 0.2500 [8 per cell]  4 Ta 3.23, 4 I 3.23
3 I 0.0000 0.0000 0.5000 [4 per cell]  8 In 3.23

Results
As for the energy above the most stable polymorph in this dataset: 118 meV/atom.

No. 2
First-principles (PBE-GGA) data for crystalline Mg2V2Bi at its relaxed geometry, as listed in Alexandria.

Cell lengths 10.5170, 4.5585, 8.7935 Å; angles 90.00, 99.83, 90.00 degrees
Closest atoms and distances in Å follow each position.
Space group Cm (No. 8)
Inequivalent atoms, fractional coordinates:
1 Mg 0.0000 0.0000 0.0000 [2 per cell]  1 V 2.77, 2 Mg 3.02, 1 Bi 3.07
2 Mg 0.0112 0.5000 0.2279 [2 per cell]  5 V 2.81-3.07, 2 Mg 3.02
3 Mg 0.0439 0.5000 0.7563 [2 per cell]  2 V 3.01-3.06, 5 Bi 3.04-3.37, 3 Mg 3.22
4 Mg 0.2889 0.0000 0.9142 [2 per cell]  3 V 2.80-2.95, 2 Bi 3.08
5 V 0.2190 0.0000 0.2249 [2 per cell]  1 V 2.24
6 V 0.2192 0.5000 0.0657 [2 per cell]  1 V 2.05
7 V 0.3326 0.5000 0.2803 [2 per cell]  1 V 2.05
8 V 0.3450 0.0000 0.4581 [2 per cell]  1 V 2.24
9 Bi 0.0734 0.0000 0.4817 [2 per cell]  3 V 2.83-2.94
10 Bi 0.3178 0.5000 0.6878 [2 per cell]  6 Mg 3.04-3.28, 2 V 3.09

Results
As for the energy above the most stable polymorph in this dataset: 44 meV/atom. Its energy of formation from the pure elements is 237.9 meV per atom.

No. 3
First-principles (PBE-GGA) data for crystalline Li2Ag2Rh at its relaxed geometry, as listed in Alexandria.

Cell lengths 7.3422, 7.3422, 2.8706 Å; angles 90.00, 90.00, 90.00 degrees
Closest atoms and distances in Å follow each position.
Space group P4/mbm (No. 127)
Inequivalent atoms, fractional coordinates:
1 Li 0.1673 0.3327 0.0000 [4 per cell]  6 Ag 2.50-2.66
2 Ag 0.1353 0.6353 0.5000 [4 per cell]  6 Li 2.50-2.66
3 Rh 0.0000 0.0000 0.5000 [2 per cell]  4 Ag 2.86, 2 Rh 2.87, 8 Li 3.09

Results
As for the energy above the most stable polymorph in this dataset: 54 meV/atom. Its energy of formation from the pure elements is 57.2 meV per atom.

No. 4
First-principles (PBE-GGA) data for crystalline GdLuMgCo at its relaxed geometry, as listed in Alexandria.

Cell lengths 7.0590, 7.0590, 7.0590 Å; angles 90.00, 90.00, 90.00 degrees
Closest atoms and distances in Å follow each position.
Space group F-43m (No. 216)
Inequivalent atoms, fractional coordinates:
1 Gd 0.0000 0.0000 0.0000 [4 per cell]  4 Co 3.06, 4 Mg 3.06
2 Lu 0.0000 0.0000 0.5000 [4 per cell]  4 Mg 3.06, 4 Co 3.06
3 Mg 0.2500 0.2500 0.2500 [4 per cell]  4 Gd 3.06, 4 Lu 3.06
4 Co 0.2500 0.2500 0.7500 [4 per cell]  4 Gd 3.06, 4 Lu 3.06

Results
Its energy of formation from the pure elements is -20.2 meV per atom.